# 1
## Na2Zn4SnGe3 (GGA-PBE)

Data for an optimized crystal structure of Na2Zn4SnGe3.

Calculated values
The total energy is -2.631 eV per atom. The density comes out at 5.2 Mg/m³. Its formation energy from the elements is -72 meV/atom.

Unit cell a=4.268 b=4.268 c=11.378 alpha=90.00 beta=90.00 gamma=90.00
Fractional positions:
Na: 0.500 0.000 0.233
Na: 0.000 0.500 0.767
Zn: 0.500 0.500 0.000
Zn: 0.000 0.000 0.000
Zn: 0.500 0.000 0.654
Zn: 0.000 0.500 0.346
Sn: 0.500 0.500 0.500
Ge: 0.000 0.000 0.500
Ge: 0.500 0.000 0.869
Ge: 0.000 0.500 0.131

---

# 2
## NaSrGe2 (GGA-PBE)

Data for an optimized crystal structure of NaSrGe2.

Calculated values
The total energy is -3.045 eV per atom. The density comes out at 3.7 Mg/m³. Its formation energy from the elements is 14 meV/atom.

Unit cell a=4.852 b=4.852 c=10.418 alpha=76.54 beta=76.54 gamma=90.00
Fractional positions:
Sr: 0.000 0.000 0.000
Sr: 0.750 0.250 0.500
Ge: 0.513 0.125 0.250
Ge: 0.237 0.625 0.250
Ge: 0.375 0.487 0.750
Ge: 0.875 0.763 0.750
Na: 0.500 0.500 0.000
Na: 0.250 0.750 0.500

---

# 3
## NaSr2Ge2 (GGA-PBE)

Data for an optimized crystal structure of NaSr2Ge2.

Calculated values
The total energy is -3.190 eV per atom. The density comes out at 3.9 Mg/m³. Its formation energy from the elements is -406 meV/atom.

Unit cell a=5.447 b=6.406 c=9.573 alpha=103.97 beta=90.00 gamma=115.16
Fractional positions:
Na: 0.750 0.000 0.250
Na: 0.250 0.000 0.750
Sr: 0.393 0.287 0.129
Sr: 0.106 0.713 0.371
Sr: 0.607 0.713 0.871
Sr: 0.894 0.287 0.629
Ge: 0.612 0.724 0.542
Ge: 0.888 0.276 0.958
Ge: 0.388 0.276 0.458
Ge: 0.112 0.724 0.042

---

# 4
## NaSrGe3 (GGA-PBE)

Data for an optimized crystal structure of NaSrGe3.

Calculated values
The total energy is -2.521 eV per atom. The density comes out at 2.9 Mg/m³. Its formation energy from the elements is 850 meV/atom.

Unit cell a=5.743 b=5.743 c=5.743 alpha=90.00 beta=90.00 gamma=90.00
Fractional positions:
Sr: 0.000 0.000 0.000
Ge: 0.000 0.500 0.000
Ge: 0.000 0.000 0.500
Ge: 0.500 0.000 0.000
Na: 0.500 0.500 0.500

---

# 5
## Na3SrGe3 (GGA-PBE)

Data for an optimized crystal structure of Na3SrGe3.

Calculated values
The total energy is -3.058 eV per atom. The density comes out at 3.1 Mg/m³. Its formation energy from the elements is -273 meV/atom.

Unit cell a=4.032 b=10.663 c=10.663 alpha=120.01 beta=90.00 gamma=90.00
Fractional positions:
Na: 0.750 0.780 0.089
Na: 0.750 0.308 0.220
Na: 0.750 0.911 0.692
Na: 0.250 0.220 0.911
Na: 0.250 0.692 0.780
Na: 0.250 0.089 0.308
Sr: 0.750 0.333 0.667
Sr: 0.250 0.667 0.333
Ge: 0.750 0.945 0.418
Ge: 0.750 0.473 0.055
Ge: 0.750 0.582 0.527
Ge: 0.250 0.055 0.582
Ge: 0.250 0.527 0.945
Ge: 0.250 0.418 0.473

---

# 6
## NaSr2Ge2 (GGA-PBE)

Data for an optimized crystal structure of NaSr2Ge2.

Calculated values
The total energy is -3.007 eV per atom. The density comes out at 3.7 Mg/m³. Its formation energy from the elements is -224 meV/atom.

Unit cell a=9.484 b=9.484 c=3.385 alpha=90.00 beta=90.00 gamma=90.00
Fractional positions:
Sr: 0.370 0.870 0.000
Sr: 0.870 0.630 0.000
Sr: 0.630 0.130 0.000
Sr: 0.130 0.370 0.000
Ge: 0.170 0.670 0.500
Ge: 0.670 0.830 0.500
Ge: 0.830 0.330 0.500
Ge: 0.330 0.170 0.500
Na: 0.000 0.000 0.000
Na: 0.500 0.500 0.000

---

# 7
## NaSrGe3 (GGA-PBE)

Data for an optimized crystal structure of NaSrGe3.

Calculated values
The total energy is -3.685 eV per atom. The density comes out at 4.2 Mg/m³. Its formation energy from the elements is -314 meV/atom.

Unit cell a=4.149 b=4.618 c=13.636 alpha=99.75 beta=90.00 gamma=90.00
Fractional positions:
Na: 0.250 0.793 0.587
Na: 0.750 0.207 0.413
Sr: 0.250 0.074 0.149
Sr: 0.750 0.926 0.851
Ge: 0.250 0.375 0.750
Ge: 0.750 0.625 0.250
Ge: 0.250 0.473 0.946
Ge: 0.750 0.527 0.054
Ge: 0.750 0.322 0.643
Ge: 0.250 0.678 0.357

---

# 8
## NaSr2Ge (GGA-PBE)

Data for an optimized crystal structure of NaSr2Ge.

Calculated values
The total energy is -2.536 eV per atom. The density comes out at 3.4 Mg/m³. Its formation energy from the elements is -211 meV/atom.

Unit cell a=4.022 b=5.718 c=5.718 alpha=90.00 beta=90.00 gamma=90.00
Fractional positions:
Sr: 0.000 0.000 0.500
Sr: 0.000 0.500 0.000
Ge: 0.500 0.500 0.500
Na: 0.500 0.000 0.000